# PBE PrSm2Zr, relaxed
# SG   P4/mmm (123)
# Energy relative to the lowest polymorph listed for this composition   7.51 kJ/mol of atoms
# ρ   7.1 g cm⁻³
# Formation enthalpy at 0 K   182.4 meV/atom
data_PrSm2Zr
_cell_length_a 4.0822
_cell_length_b 4.0822
_cell_length_c 7.4501
_cell_angle_alpha 90.00
_cell_angle_beta 90.00
_cell_angle_gamma 90.00
_symmetry_space_group_name_H-M 'P 1'
_symmetry_Int_Tables_number 1
loop_
_symmetry_equiv_pos_as_xyz
'x,y,z'
loop_
_atom_site_label
_atom_site_fract_x
_atom_site_fract_y
_atom_site_fract_z
Sm1 0.0000 0.0000 0.2179
Pr1 0.5000 0.5000 0.5000
Zr1 0.5000 0.5000 0.0000
Sm2 0.0000 0.0000 0.7821

=====

# PBE Pr12Sm6Zr, relaxed
# SG   R-3 (148)
# ρ   6.8 g cm⁻³
# Formation enthalpy at 0 K   40.5 meV/atom
data_Pr12Sm6Zr
_cell_length_a 9.6792
_cell_length_b 9.6792
_cell_length_c 9.6792
_cell_angle_alpha 110.91
_cell_angle_beta 110.91
_cell_angle_gamma 110.91
_symmetry_space_group_name_H-M 'P 1'
_symmetry_Int_Tables_number 1
loop_
_symmetry_equiv_pos_as_xyz
'x,y,z'
loop_
_atom_site_label
_atom_site_fract_x
_atom_site_fract_y
_atom_site_fract_z
Sm1 0.7919 0.6903 0.5376
Pr1 0.8472 0.2576 0.8978
Pr2 0.5842 0.3740 0.0580
Pr3 0.7424 0.1022 0.1528
Sm2 0.4624 0.2081 0.3097
Pr4 0.6260 0.9420 0.4158
Sm3 0.5376 0.7919 0.6903
Pr5 0.9420 0.4158 0.6260
Pr6 0.1528 0.7424 0.1022
Zr1 0.0000 0.0000 0.0000
Pr7 0.3740 0.0580 0.5842
Pr8 0.1022 0.1528 0.7424
Sm4 0.3097 0.4624 0.2081
Pr9 0.0580 0.5842 0.3740
Sm5 0.2081 0.3097 0.4624
Sm6 0.6903 0.5376 0.7919
Pr10 0.2576 0.8978 0.8472
Pr11 0.4158 0.6260 0.9420
Pr12 0.8978 0.8472 0.2576

=====

# PBE PrSn4, relaxed
# SG   Imma (74)
# Energy relative to the lowest polymorph listed for this composition   0.00 kJ/mol of atoms
# ρ   7.3 g cm⁻³
# Formation enthalpy at 0 K   -367.8 meV/atom
data_PrSn4
_cell_length_a 4.6953
_cell_length_b 6.5853
_cell_length_c 9.9183
_cell_angle_alpha 109.39
_cell_angle_beta 103.69
_cell_angle_gamma 90.00
_symmetry_space_group_name_H-M 'P 1'
_symmetry_Int_Tables_number 1
loop_
_symmetry_equiv_pos_as_xyz
'x,y,z'
loop_
_atom_site_label
_atom_site_fract_x
_atom_site_fract_y
_atom_site_fract_z
Sn1 0.3064 0.7920 0.6129
Pr1 0.0939 0.8439 0.1877
Pr2 0.9061 0.1561 0.8123
Sn2 0.6936 0.2080 0.3871
Sn3 0.3064 0.3209 0.6129
Sn4 0.9026 0.6526 0.8052
Sn5 0.6936 0.6791 0.3871
Sn6 0.5000 0.5000 0.0000
Sn7 0.0974 0.3474 0.1948
Sn8 0.5000 0.0000 0.0000

=====

# PBE Pr3Sn, relaxed
# SG   Pm-3m (221)
# ρ   7.2 g cm⁻³
# Formation enthalpy at 0 K   -452.9 meV/atom
data_Pr3Sn
_cell_length_a 4.9916
_cell_length_b 4.9916
_cell_length_c 4.9916
_cell_angle_alpha 90.00
_cell_angle_beta 90.00
_cell_angle_gamma 90.00
_symmetry_space_group_name_H-M 'P 1'
_symmetry_Int_Tables_number 1
loop_
_symmetry_equiv_pos_as_xyz
'x,y,z'
loop_
_atom_site_label
_atom_site_fract_x
_atom_site_fract_y
_atom_site_fract_z
Pr1 0.5000 0.5000 0.0000
Pr2 0.0000 0.5000 0.5000
Sn1 0.0000 0.0000 0.0000
Pr3 0.5000 0.0000 0.5000

=====

# PBE PrSn6, relaxed
# SG   Im-3m (229)
# ρ   5.4 g cm⁻³
# Formation enthalpy at 0 K   327.6 meV/atom
data_PrSn6
_cell_length_a 6.9836
_cell_length_b 6.9836
_cell_length_c 6.9836
_cell_angle_alpha 109.47
_cell_angle_beta 109.47
_cell_angle_gamma 109.47
_symmetry_space_group_name_H-M 'P 1'
_symmetry_Int_Tables_number 1
loop_
_symmetry_equiv_pos_as_xyz
'x,y,z'
loop_
_atom_site_label
_atom_site_fract_x
_atom_site_fract_y
_atom_site_fract_z
Sn1 0.7500 0.5000 0.2500
Sn2 0.2500 0.5000 0.7500
Sn3 0.5000 0.7500 0.2500
Sn4 0.5000 0.2500 0.7500
Pr1 0.0000 0.0000 0.0000
Sn5 0.2500 0.7500 0.5000
Sn6 0.7500 0.2500 0.5000

=====

# PBE Pr7Sn, relaxed
# SG   Fm-3m (225)
# ρ   6.8 g cm⁻³
# Formation enthalpy at 0 K   -155.0 meV/atom
data_Pr7Sn
_cell_length_a 7.2472
_cell_length_b 7.2472
_cell_length_c 7.2472
_cell_angle_alpha 60.00
_cell_angle_beta 60.00
_cell_angle_gamma 60.00
_symmetry_space_group_name_H-M 'P 1'
_symmetry_Int_Tables_number 1
loop_
_symmetry_equiv_pos_as_xyz
'x,y,z'
loop_
_atom_site_label
_atom_site_fract_x
_atom_site_fract_y
_atom_site_fract_z
Pr1 0.0000 0.0000 0.5000
Sn1 0.0000 0.0000 0.0000
Pr2 0.5000 0.0000 0.0000
Pr3 0.5000 0.5000 0.5000
Pr4 0.5000 0.5000 0.0000
Pr5 0.0000 0.5000 0.5000
Pr6 0.5000 0.0000 0.5000
Pr7 0.0000 0.5000 0.0000

=====

# PBE PrSn7, relaxed
# SG   Fm-3m (225)
# ρ   7.3 g cm⁻³
# Formation enthalpy at 0 K   -196.5 meV/atom
data_PrSn7
_cell_length_a 6.7877
_cell_length_b 6.7877
_cell_length_c 6.7877
_cell_angle_alpha 60.00
_cell_angle_beta 60.00
_cell_angle_gamma 60.00
_symmetry_space_group_name_H-M 'P 1'
_symmetry_Int_Tables_number 1
loop_
_symmetry_equiv_pos_as_xyz
'x,y,z'
loop_
_atom_site_label
_atom_site_fract_x
_atom_site_fract_y
_atom_site_fract_z
Sn1 0.5000 0.5000 0.5000
Sn2 0.5000 0.0000 0.5000
Sn3 0.5000 0.5000 0.0000
Pr1 0.0000 0.0000 0.0000
Sn4 0.5000 0.0000 0.0000
Sn5 0.0000 0.5000 0.5000
Sn6 0.0000 0.0000 0.5000
Sn7 0.0000 0.5000 0.0000

=====

# PBE Pr5Sn, relaxed
# SG   C2/m (12)
# Energy relative to the lowest polymorph listed for this composition   2.13 kJ/mol of atoms
# ρ   6.9 g cm⁻³
# Formation enthalpy at 0 K   -237.9 meV/atom
data_Pr5Sn
_cell_length_a 4.9501
_cell_length_b 6.3020
_cell_length_c 7.3490
_cell_angle_alpha 107.97
_cell_angle_beta 90.00
_cell_angle_gamma 113.13
_symmetry_space_group_name_H-M 'P 1'
_symmetry_Int_Tables_number 1
loop_
_symmetry_equiv_pos_as_xyz
'x,y,z'
loop_
_atom_site_label
_atom_site_fract_x
_atom_site_fract_y
_atom_site_fract_z
Pr1 0.3440 0.6880 0.2047
Pr2 0.0127 0.0254 0.0480
Pr3 0.6944 0.3888 0.3888
Sn1 0.6945 0.3889 0.8889
Pr4 0.0449 0.0897 0.5731
Pr5 0.3762 0.7523 0.7298

=====

# PBE Pr5Sn, relaxed
# SG   Cmmm (65)
# Energy relative to the lowest polymorph listed for this composition   0.00 kJ/mol of atoms
# ρ   6.9 g cm⁻³
# Formation enthalpy at 0 K   -259.9 meV/atom
data_Pr5Sn
_cell_length_a 5.0174
_cell_length_b 4.9934
_cell_length_c 8.3015
_cell_angle_alpha 107.50
_cell_angle_beta 90.00
_cell_angle_gamma 90.00
_symmetry_space_group_name_H-M 'P 1'
_symmetry_Int_Tables_number 1
loop_
_symmetry_equiv_pos_as_xyz
'x,y,z'
loop_
_atom_site_label
_atom_site_fract_x
_atom_site_fract_y
_atom_site_fract_z
Pr1 0.0000 0.3399 0.6797
Pr2 0.5000 0.1602 0.3203
Sn1 0.0000 0.0000 0.0000
Pr3 0.5000 0.5000 0.0000
Pr4 0.0000 0.6601 0.3203
Pr5 0.5000 0.8398 0.6797

=====

# PBE Pr5Sn3, relaxed
# SG   I4/mcm (140)
# Energy relative to the lowest polymorph listed for this composition   0.29 kJ/mol of atoms
# ρ   7.0 g cm⁻³
# Formation enthalpy at 0 K   -678.4 meV/atom
data_Pr5Sn3
_cell_length_a 9.4926
_cell_length_b 9.4926
_cell_length_c 9.4926
_cell_angle_alpha 96.28
_cell_angle_beta 96.28
_cell_angle_gamma 141.36
_symmetry_space_group_name_H-M 'P 1'
_symmetry_Int_Tables_number 1
loop_
_symmetry_equiv_pos_as_xyz
'x,y,z'
loop_
_atom_site_label
_atom_site_fract_x
_atom_site_fract_y
_atom_site_fract_z
Pr1 0.7826 0.0832 0.8658
Sn1 0.6609 0.8391 0.5000
Pr2 0.0832 0.2174 0.3005
Pr3 0.2174 0.9168 0.1342
Sn2 0.2500 0.2500 0.0000
Pr4 0.2826 0.4168 0.6995
Pr5 0.4168 0.7174 0.1342
Pr6 0.5832 0.2826 0.8658
Sn3 0.8391 0.3391 0.1783
Pr7 0.7174 0.5832 0.3005
Sn4 0.7500 0.7500 0.0000
Sn5 0.1609 0.6609 0.8217
Sn6 0.3391 0.1609 0.5000
Pr8 0.9168 0.7826 0.6995
Pr9 0.2500 0.7500 0.5000
Pr10 0.7500 0.2500 0.5000

=====

# PBE Pr3Sn, relaxed
# SG   Fm-3m (225)
# ρ   7.1 g cm⁻³
# Formation enthalpy at 0 K   -254.4 meV/atom
data_Pr3Sn
_cell_length_a 5.6242
_cell_length_b 5.6242
_cell_length_c 5.6242
_cell_angle_alpha 60.00
_cell_angle_beta 60.00
_cell_angle_gamma 60.00
_symmetry_space_group_name_H-M 'P 1'
_symmetry_Int_Tables_number 1
loop_
_symmetry_equiv_pos_as_xyz
'x,y,z'
loop_
_atom_site_label
_atom_site_fract_x
_atom_site_fract_y
_atom_site_fract_z
Pr1 0.7500 0.7500 0.7500
Pr2 0.0000 0.0000 0.0000
Pr3 0.2500 0.2500 0.2500
Sn1 0.5000 0.5000 0.5000

=====

# PBE Pr4Sn3, relaxed
# SG   I-43d (220)
# Energy relative to the lowest polymorph listed for this composition   0.00 kJ/mol of atoms
# ρ   6.7 g cm⁻³
# Formation enthalpy at 0 K   -743.3 meV/atom
data_Pr4Sn3
_cell_length_a 8.3881
_cell_length_b 8.3881
_cell_length_c 8.3881
_cell_angle_alpha 109.47
_cell_angle_beta 109.47
_cell_angle_gamma 109.47
_symmetry_space_group_name_H-M 'P 1'
_symmetry_Int_Tables_number 1
loop_
_symmetry_equiv_pos_as_xyz
'x,y,z'
loop_
_atom_site_label
_atom_site_fract_x
_atom_site_fract_y
_atom_site_fract_z
Pr1 0.0000 0.0000 0.3613
Pr2 0.1387 0.6387 0.6387
Pr3 0.3613 0.5000 0.0000
Sn1 0.1250 0.3750 0.2500
Sn2 0.7500 0.6250 0.3750
Sn3 0.2500 0.8750 0.1250
Pr4 0.0000 0.0000 0.8613
Pr5 0.5000 0.3613 0.5000
Pr6 0.5000 0.8613 0.5000
Sn4 0.3750 0.1250 0.7500
Pr7 0.8613 0.5000 0.0000
Sn5 0.6250 0.7500 0.8750
Pr8 0.6387 0.1387 0.1387
Sn6 0.8750 0.2500 0.6250

=====

Values for density of states at the Fermi level, states/eV/cell, ordered as above
7.6; 27.8; 4.3; 4.0; 6.9; 9.8; 6.4; 7.2; 7.1; 19.1; 7.8; 2.4